[1]
## CsBeCrSe3 (PBE)

Data for an optimized crystal structure of CsBeCrSe3.

Structure (POSCAR):
```
CsBeCrSe3
1.0
-1.1288 1.1973 -3.3113
-2.0790 -8.7975 -2.4723
-6.8880 5.5172 4.3431
Se Be Cr Cs
6 2 2 2
Cartesian
-2.9466 -2.4432 -2.9757
-7.1493 0.3602 1.5352
-3.5787 -5.6331 -3.9136
-5.0800 2.2565 -0.5491
-6.5171 3.5501 2.4731
-5.0159 -4.3395 -0.8914
-5.4712 -4.9562 -3.0237
-4.6247 2.8732 1.5832
-7.7444 2.5083 0.4503
-2.3515 -4.5913 -1.8908
-2.3976 -0.1534 -0.2704
-7.6983 -1.9295 -1.1701
```

V in Å³/f.u.: 148.8
Uncorrected formation energy in eV per atom: -0.711

***

[2]
## CaGd2S (PBE)

Data for an optimized crystal structure of CaGd2S.

Structure (POSCAR):
```
CaGd2S
1.0
-0.7428 -1.5386 -3.3724
1.4193 -3.3903 -0.8848
-8.0813 -6.1326 2.4590
Ca Gd S
1 2 1
Cartesian
0.0000 0.0000 0.0000
-2.1568 -6.4602 -2.9345
-5.2480 -4.6013 1.1362
-3.7024 -5.5308 -0.8991
```

V in Å³/f.u.: 126.3
Uncorrected formation energy in eV per atom: -0.815

***

[3]
## Al2ZnGe (PBE)

Data for an optimized crystal structure of Al2ZnGe.

Structure (POSCAR):
```
Al2ZnGe
1.0
4.0302 0.0000 0.0000
2.0151 3.4903 0.0000
2.0151 1.1634 5.2919
Al Zn Ge
2 1 1
Cartesian
2.0151 1.1634 1.2562
2.0151 1.1634 4.0447
6.0454 3.4903 5.2886
4.0302 2.3269 2.6403
```

V in Å³/f.u.: 74.4
Formation energy from the elements in eV/f.u.: 0.49

***

[4]
## BaCa2Tl2 (PBE)

Data for an optimized crystal structure of BaCa2Tl2.

Structure (POSCAR):
```
BaCa2Tl2
1.0
-1.9587 -4.6378 6.1524
-1.7860 -8.9873 2.9174
6.8927 -3.8410 5.5457
Ba Tl Ca
2 4 4
Cartesian
-0.9185 -11.5134 8.6422
4.0666 -5.9527 5.9733
2.9546 -14.1116 12.3623
2.9339 -11.1417 8.3496
0.2141 -6.3244 6.2659
0.1934 -3.3545 2.2532
4.9164 -8.6879 9.7011
-1.7683 -8.7782 4.9145
1.3871 -8.2787 8.9604
1.7609 -9.1875 5.6552
```

V in Å³/f.u.: 179.9
ΔE to the lowest computed polymorph in eV/atom: 0.014
Formation energy from the elements in eV/f.u.: -1.64

***

[5]
## AgTeS (PBE)

Data for an optimized crystal structure of AgTeS.

Structure (POSCAR):
```
AgTeS
1.0
4.8168 0.5502 -0.2373
3.0589 5.0717 -0.6703
-0.2044 1.0096 6.7653
Ag Te S
2 2 2
Cartesian
4.6253 4.6078 2.7711
3.0765 2.0472 3.1137
0.8670 1.2450 -0.0369
6.8345 5.4093 5.9218
0.6956 1.9138 4.3005
7.0065 4.7417 1.5842
```

V in Å³/f.u.: 78.1
ΔE to the lowest computed polymorph in eV/atom: 0.019
Uncorrected formation energy in eV per atom: 0.079

***

[6]
## Zn3CoAu2 (PBE)

Data for an optimized crystal structure of Zn3CoAu2.

Structure (POSCAR):
```
Zn3CoAu2
1.0
-1.1040 -0.9184 -4.1334
3.3771 -5.7698 -1.9361
-4.6977 -3.4261 2.0160
Zn Au Co
6 4 2
Cartesian
-1.6656 -1.2713 -1.5888
-4.1362 -3.0732 -0.5286
-0.7435 -3.5707 -3.6403
-1.6812 -6.5437 -0.4132
0.9358 -4.6351 -1.5362
-3.3604 -5.4792 -2.5174
-2.3489 -1.7130 1.0080
-1.6255 -3.8960 -1.0163
-0.7991 -6.2183 -3.0372
0.0000 0.0000 0.0000
0.7006 -2.1522 -2.0251
1.5725 -4.5361 -4.0445
```

V in Å³/f.u.: 89.0
Formation energy from the elements in eV/f.u.: -0.66

***

[7]
## Ba2NaP3Pd12 (PBE)

Data for an optimized crystal structure of Ba2NaP3Pd12.

Structure (POSCAR):
```
Ba2NaP3Pd12
1.0
7.3335 -0.8749 -0.6206
2.8609 6.8089 -0.6206
2.8609 1.6653 6.6313
P Pd Ba Na
3 12 2 1
Cartesian
1.4304 3.4045 -0.3103
1.4304 0.8326 3.3156
3.6668 -0.4375 -0.3103
4.7643 5.8768 4.1684
8.2911 1.7225 1.2217
3.2461 1.8895 4.0409
7.4630 1.2405 4.1684
9.8092 3.1609 4.9427
9.8092 5.7098 1.3492
5.5923 3.2552 5.5974
3.2461 4.4383 0.4474
7.4630 4.3441 -0.2073
7.5929 6.9685 4.9427
5.4625 0.6308 0.4474
5.5923 6.3588 1.2217
5.0909 2.9633 2.1019
7.9644 4.6359 3.2882
0.0000 0.0000 0.0000
```

V in Å³/f.u.: 366.0
Formation energy from the elements in eV/f.u.: -5.65

***

[8]
## RbAsSe2Br (PBE)

Data for an optimized crystal structure of RbAsSe2Br.

Structure (POSCAR):
```
RbAsSe2Br
1.0
-2.7784 0.3117 4.2737
4.2023 -0.7977 2.7902
0.9449 5.6784 0.2002
Se Br Rb As
2 1 1 1
Cartesian
2.1012 -0.3988 1.3951
-1.3892 0.1558 2.1368
0.4725 2.8392 0.1001
1.1844 2.5962 3.6321
0.0000 0.0000 0.0000
```

V in Å³/f.u.: 150.2
ΔE to the lowest computed polymorph in eV/atom: 0.000
Uncorrected formation energy in eV per atom: -0.423